[1]
This record from Alexandria describes a geometry-optimized CuAsIr2 structure. The functional is PBEsol.

Lattice parameters (Å, degrees): 2.7208 2.7208 8.8692 90.00 90.00 119.71
Sites, in units of the cell vectors:
As: 0.5000 0.5000 0.5000
Ir: 0.0000 0.0000 0.2422
Ir: 0.0000 0.0000 0.7578
Cu: 0.5000 0.5000 0.0000

Computed properties:
SG: Cmmm (65)
ΔH_f (0 K), eV per atom: 0.3471

=====

[2]
This record from Alexandria describes a geometry-optimized CuAsIr structure. The functional is PBEsol.

Lattice parameters (Å, degrees): 4.0742 4.0742 4.0742 60.00 60.00 60.00
Sites, in units of the cell vectors:
As: 0.0000 0.0000 0.0000
Cu: 0.5000 0.5000 0.5000
Ir: 0.2500 0.2500 0.2500

Computed properties:
Excess energy over the best structure of this formula in the dataset, meV per atom: 0
SG: F-43m (216)
ΔH_f (0 K), eV per atom: 0.0883

=====

[3]
This record from Alexandria describes a geometry-optimized CuAsIr structure. The functional is PBEsol.

Lattice parameters (Å, degrees): 2.8851 4.1515 4.1515 120.00 90.00 90.00
Sites, in units of the cell vectors:
As: 0.1660 0.0000 0.0000
Ir: 0.1672 0.3333 0.6667
Cu: 0.6668 0.6667 0.3333

Computed properties:
Excess energy over the best structure of this formula in the dataset, meV per atom: 14
SG: P-6m2 (187)
ΔH_f (0 K), eV per atom: 0.1024

=====

Question: The lowest ΔH_f (0 K) belongs to which entry?
Answer: number 2